(1)
Below is crystalline RbLiAu4 at its relaxed geometry, with properties calculated at the PBE level.

Cell: 5.7355 5.7355 5.7355 Å, 60.00 60.00 60.00°
Sites, in units of the cell vectors:
1 Rb 0.0000 0.0000 0.0000
2 Li 0.2500 0.2500 0.2500
3 Au 0.1268 0.6244 0.6244
4 Au 0.6244 0.1268 0.6244
5 Au 0.6244 0.6244 0.1268
6 Au 0.6244 0.6244 0.6244

energy relative to the elements	-1.386	eV per formula unit
space-group type	No. 216
total energy	-2.8961	eV per atom
theoretical density	10.96	g/cm³

---

(2)
Below is crystalline Rb2SrCd3Bi4 at its relaxed geometry, with properties calculated at the PBE level.

Cell: 5.3763 5.3763 12.7626 Å, 90.00 90.00 90.00°
Sites, in units of the cell vectors:
1 Rb 0.0000 0.5000 0.2318
2 Rb 0.5000 0.0000 0.7682
3 Sr 0.0000 0.0000 0.5000
4 Cd 0.0000 0.5000 0.8780
5 Cd 0.5000 0.0000 0.1220
6 Cd 0.5000 0.5000 0.5000
7 Bi 0.0000 0.0000 0.0000
8 Bi 0.0000 0.5000 0.6435
9 Bi 0.5000 0.0000 0.3565
10 Bi 0.5000 0.5000 0.0000

energy relative to the elements	-3.432	eV per formula unit
space-group type	No. 115
total energy	-2.5319	eV per atom
theoretical density	6.44	g/cm³

---

(3)
Below is crystalline Sm7Al4Cd at its relaxed geometry, with properties calculated at the PBE level.

Cell: 7.5499 7.5499 10.0669 Å, 120.44 120.44 44.66°
Sites, in units of the cell vectors:
1 Sm 0.0000 0.0000 0.0000
2 Sm 0.2255 0.2255 0.6765
3 Sm 0.3007 0.3007 0.1151
4 Sm 0.4308 0.4308 0.6087
5 Sm 0.5692 0.5692 0.3913
6 Sm 0.6993 0.6993 0.8849
7 Sm 0.7745 0.7745 0.3235
8 Al 0.0425 0.0425 0.7358
9 Al 0.1770 0.1770 0.3377
10 Al 0.8230 0.8230 0.6623
11 Al 0.9575 0.9575 0.2642
12 Cd 0.5000 0.5000 0.0000

energy relative to the elements	-1.268	eV per formula unit
space-group type	No. 12
total energy	-4.1823	eV per atom
theoretical density	6.26	g/cm³